1.
Compound: Bi2BrF
Source: the Alexandria database
Functional: PBE
Structure: relaxed

## Properties
Crystal system: tetragonal
ΔE to the lowest computed polymorph, meV per atom: 0.0
Final energy, eV/atom: -3.52
Total magnetic moment, μB/f.u.: 0.000

a b c (Å): 4.8312 4.8312 10.0583
angles (deg): 76.10 76.10 90.00
Last column: nearest neighbours and their distance in Å.
Sites, in units of the cell vectors:
Bi (0.5738, 0.1250, 0.2500)  2 F 2.82, 2 Br 3.03, 2 Bi 3.09
Bi (0.1762, 0.6250, 0.2500)  2 F 2.82, 2 Br 3.03, 2 Bi 3.09
Bi (0.3750, 0.4262, 0.7500)  2 F 2.82, 2 Br 3.03, 2 Bi 3.09
Bi (0.8750, 0.8238, 0.7500)  2 F 2.82, 2 Br 3.03, 2 Bi 3.09
Br (0.0000, 0.0000, 0.0000)  4 Bi 3.03
Br (0.7500, 0.2500, 0.5000)  4 Bi 3.03
F (0.5000, 0.5000, 0.0000)  4 Bi 2.82
F (0.2500, 0.7500, 0.5000)  4 Bi 2.82

***

2.
Compound: BiBr2F
Source: the Alexandria database
Functional: PBE
Structure: relaxed

## Properties
Crystal system: cubic
ΔE to the lowest computed polymorph, meV per atom: 543.5
Final energy, eV/atom: -3.02
Total magnetic moment, μB/f.u.: 0.000

a b c (Å): 4.9711 4.9711 4.9711
angles (deg): 60.00 60.00 60.00
Last column: nearest neighbours and their distance in Å.
Sites, in units of the cell vectors:
Bi (0.5000, 0.5000, 0.5000)  8 Br 3.04
Br (0.2500, 0.2500, 0.2500)  4 F 3.04, 4 Bi 3.04
Br (0.7500, 0.7500, 0.7500)  4 F 3.04, 4 Bi 3.04
F (0.0000, 0.0000, 0.0000)  8 Br 3.04

***

3.
Compound: BiBrF2
Source: the Alexandria database
Functional: PBE
Structure: relaxed

## Properties
Crystal system: cubic
ΔE to the lowest computed polymorph, meV per atom: 537.3
Final energy, eV/atom: -3.61
Total magnetic moment, μB/f.u.: 0.000

a b c (Å): 4.5182 4.5182 4.5182
angles (deg): 60.00 60.00 60.00
Last column: nearest neighbours and their distance in Å.
Sites, in units of the cell vectors:
Bi (0.5000, 0.5000, 0.5000)  8 F 2.77
Br (0.0000, 0.0000, 0.0000)  8 F 2.77
F (0.2500, 0.2500, 0.2500)  4 Bi 2.77, 4 Br 2.77
F (0.7500, 0.7500, 0.7500)  4 Bi 2.77, 4 Br 2.77

***

4.
Compound: Ga2BiBrF
Source: the Alexandria database
Functional: PBE
Structure: relaxed

## Properties
Crystal system: tetragonal
Final energy, eV/atom: -3.20
Total magnetic moment, μB/f.u.: 0.000

a b c (Å): 5.8874 4.5466 5.8874
angles (deg): 90.00 90.00 90.00
Last column: nearest neighbours and their distance in Å.
Sites, in units of the cell vectors:
Ga (0.0000, 0.0000, 0.5000)  2 Bi 2.94
Ga (0.5000, 0.0000, 0.0000)  2 Bi 2.94
Bi (0.0000, 0.0000, 0.0000)  2 F 2.27
Br (0.5000, 0.5000, 0.5000)  8 Ga 3.72, 4 F 4.16
F (0.0000, 0.5000, 0.0000)  2 Bi 2.27